Crystalline BaNbAsSe2 at its relaxed geometry. Source: Alexandria, functional PBE.

abc: 5.183 5.183 5.049
angles: 90.00 90.00 90.00
Space group P4/mmm (No. 123)
Symmetry-distinct sites (fractional):
1 Ba 0.000 0.000 0.000 [1 per cell]
2 Nb 0.500 0.500 0.500 [1 per cell]
3 As 0.500 0.500 0.000 [1 per cell]
4 Se 0.000 0.500 0.500 [2 per cell]

E_form (uncorrected): -936 meV/atom

Crystalline Mg5In2GaAg2 at its relaxed geometry. Source: Alexandria, functional PBE.

abc: 11.459 11.459 3.332
angles: 90.00 90.00 90.00
Space group P4/mbm (No. 127)
Symmetry-distinct sites (fractional):
1 Mg 0.000 0.500 0.000 [2 per cell]
2 Mg 0.034 0.197 0.000 [8 per cell]
3 In 0.182 0.682 0.500 [4 per cell]
4 Ga 0.000 0.000 0.500 [2 per cell]
5 Ag 0.136 0.364 0.500 [4 per cell]

E_form: -0.079 eV per atom

Crystalline LiReAg3 at its relaxed geometry. Source: Alexandria, functional PBE.

abc: 5.133 5.133 5.133
angles: 90.00 90.00 90.00
Space group Pm-3m (No. 221)
Symmetry-distinct sites (fractional):
1 Li 0.000 0.000 0.000 [1 per cell]
2 Re 0.500 0.500 0.500 [1 per cell]
3 Ag 0.000 0.500 0.500 [3 per cell]

E_form: 1.322 eV per atom

Crystalline TbGa6Ni12 at its relaxed geometry. Source: Alexandria, functional PBE.

abc: 10.5894 10.5894 8.0213
angles: 90.00 90.00 120.00
Space group R-3m (No. 166, hexagonal axes)
Symmetry-distinct sites (fractional):
1 Tb 0.0000 0.0000 0.0000 [3 per cell]
2 Ga 0.0426 0.5213 0.2466 [18 per cell]
3 Ni 0.0000 0.3862 0.5000 [18 per cell]
4 Ni 0.0818 0.1636 0.3099 [18 per cell]

E_form: -0.229 eV per atom

Crystalline LiFeSi2 at its relaxed geometry. Source: Alexandria, functional PBE.

abc: 4.805 4.805 14.110
angles: 90.00 90.00 90.00
Space group I-42d (No. 122)
Symmetry-distinct sites (fractional):
1 Li 0.000 0.000 0.000 [4 per cell]
2 Fe 0.000 0.000 0.500 [4 per cell]
3 Si 0.065 0.250 0.625 [8 per cell]

E_form (uncorrected): 279 meV/atom

Crystalline Cu3PSe3 at its relaxed geometry. Source: Alexandria, functional PBE.

abc: 8.029 10.366 6.747
angles: 90.00 90.00 90.00
Space group Pnma (No. 62)
Symmetry-distinct sites (fractional):
1 Cu 0.112 0.043 0.241 [8 per cell]
2 Cu 0.215 0.250 0.069 [4 per cell]
3 P 0.215 0.250 0.628 [4 per cell]
4 Se 0.021 0.250 0.371 [4 per cell]
5 Se 0.145 0.072 0.832 [8 per cell]

E_form (uncorrected): -63 meV/atom

Crystalline NdY2ZrAs4 at its relaxed geometry. Source: Alexandria, functional PBE.

abc: 7.073 4.089 7.089
angles: 90.00 109.27 90.00
Space group P2/m (No. 10)
Symmetry-distinct sites (fractional):
1 Nd 0.000 0.000 0.000 [1 per cell]
2 Y 0.500 0.000 0.500 [1 per cell]
3 Y 0.500 0.500 0.000 [1 per cell]
4 Zr 0.000 0.500 0.500 [1 per cell]
5 As 0.242 0.000 0.736 [2 per cell]
6 As 0.250 0.500 0.262 [2 per cell]

E_form: -1.414 eV per atom

Crystalline Y8NiOs2 at its relaxed geometry. Source: Alexandria, functional PBE.

abc: 8.556 12.436 5.884
angles: 90.00 108.28 90.00
Space group Cm (No. 8)
Symmetry-distinct sites (fractional):
1 Y 0.000 0.000 0.000 [2 per cell]
2 Y 0.067 0.369 0.803 [4 per cell]
3 Y 0.153 0.132 0.599 [4 per cell]
4 Y 0.229 0.500 0.391 [2 per cell]
5 Y 0.365 0.214 0.194 [4 per cell]
6 Ni 0.369 0.000 0.034 [2 per cell]
7 Os 0.359 0.311 0.699 [4 per cell]

E_form: -0.129 eV per atom

Crystalline SiRu2Br at its relaxed geometry. Source: Alexandria, functional PBE.

abc: 6.314 6.314 6.314
angles: 90.00 90.00 90.00
Space group F-43m (No. 216)
Symmetry-distinct sites (fractional):
1 Si 0.000 0.000 0.000 [4 per cell]
2 Ru 0.000 0.000 0.500 [4 per cell]
3 Ru 0.250 0.250 0.750 [4 per cell]
4 Br 0.250 0.250 0.250 [4 per cell]

E_form (uncorrected): 943 meV/atom

Crystalline As2PdRh2 at its relaxed geometry. Source: Alexandria, functional PBE.

abc: 7.177 7.177 2.998
angles: 90.00 90.00 90.00
Space group P4/mbm (No. 127)
Symmetry-distinct sites (fractional):
1 As 0.155 0.345 0.000 [4 per cell]
2 Pd 0.000 0.000 0.000 [2 per cell]
3 Rh 0.141 0.641 0.500 [4 per cell]

E_form: -0.267 eV per atom

Crystalline Pr2Er5Bi3C2 at its relaxed geometry. Source: Alexandria, functional PBE.

abc: 4.838 4.838 26.414
angles: 90.00 90.00 90.00
Space group I4/mmm (No. 139)
Symmetry-distinct sites (fractional):
1 Pr 0.000 0.000 0.194 [4 per cell]
2 Er 0.000 0.000 0.000 [2 per cell]
3 Er 0.000 0.500 0.092 [8 per cell]
4 Bi 0.000 0.000 0.322 [4 per cell]
5 Bi 0.000 0.000 0.500 [2 per cell]
6 C 0.000 0.000 0.091 [4 per cell]

E_form: -0.650 eV per atom

Crystalline Pu3GeRu at its relaxed geometry. Source: Alexandria, functional PBE.

abc: 5.058 5.838 7.887
angles: 90.00 90.00 90.00
Space group Pmmn (No. 59, origin choice 2)
Symmetry-distinct sites (fractional):
1 Pu 0.250 0.004 0.145 [4 per cell]
2 Pu 0.250 0.750 0.513 [2 per cell]
3 Ge 0.250 0.250 0.746 [2 per cell]
4 Ru 0.250 0.750 0.827 [2 per cell]

E_form: -0.118 eV per atom

Crystalline Ce3PaRu2 at its relaxed geometry. Source: Alexandria, functional PBE.

abc: 6.465 13.606 7.411
angles: 90.00 90.00 90.00
Space group Ibam (No. 72)
Symmetry-distinct sites (fractional):
1 Ce 0.000 0.000 0.250 [4 per cell]
2 Ce 0.000 0.274 0.250 [8 per cell]
3 Pa 0.000 0.500 0.000 [4 per cell]
4 Ru 0.232 0.122 0.000 [8 per cell]

E_form: -0.149 eV per atom

Crystalline Be2BiH at its relaxed geometry. Source: Alexandria, functional PBE.

abc: 6.091 6.091 6.091
angles: 90.00 90.00 90.00
Space group Fm-3m (No. 225)
Symmetry-distinct sites (fractional):
1 Be 0.250 0.250 0.250 [8 per cell]
2 Bi 0.000 0.000 0.000 [4 per cell]
3 H 0.000 0.000 0.500 [4 per cell]

Crystalline Dy2SI2 at its relaxed geometry. Source: Alexandria, functional PBE.

abc: 7.063 4.078 11.854
angles: 90.00 102.82 90.00
Space group C2/m (No. 12)
Symmetry-distinct sites (fractional):
1 Dy 0.212 0.000 0.121 [4 per cell]
2 S 0.000 0.500 0.000 [2 per cell]
3 I 0.056 0.000 0.702 [4 per cell]

E_form (uncorrected): -1612 meV/atom

Crystalline Ca4P2Cl3 at its relaxed geometry. Source: Alexandria, functional PBE.

abc: 7.094 4.095 17.123
angles: 90.00 90.07 90.00
Space group C2/m (No. 12)
Symmetry-distinct sites (fractional):
1 Ca 0.001 0.000 0.310 [4 per cell]
2 Ca 0.166 0.500 0.884 [4 per cell]
3 P 0.167 0.500 0.204 [4 per cell]
4 Cl 0.000 0.000 0.000 [2 per cell]
5 Cl 0.166 0.500 0.608 [4 per cell]

E_form (uncorrected): -1675 meV/atom

Crystalline Zr6Ru5Pt at its relaxed geometry. Source: Alexandria, functional PBE.

abc: 4.664 6.573 13.944
angles: 90.00 90.00 90.00
Space group Immm (No. 71)
Symmetry-distinct sites (fractional):
1 Zr 0.000 0.245 0.000 [4 per cell]
2 Zr 0.000 0.252 0.332 [8 per cell]
3 Ru 0.000 0.000 0.166 [4 per cell]
4 Ru 0.000 0.500 0.167 [4 per cell]
5 Ru 0.000 0.500 0.500 [2 per cell]
6 Pt 0.000 0.000 0.500 [2 per cell]

E_form: -0.668 eV per atom

Crystalline Th6PdRh5 at its relaxed geometry. Source: Alexandria, functional PBE.

abc: 7.157 12.370 7.122
angles: 90.00 109.40 90.00
Space group C2/m (No. 12)
Symmetry-distinct sites (fractional):
1 Th 0.243 0.000 0.252 [4 per cell]
2 Th 0.245 0.170 0.745 [8 per cell]
3 Pd 0.000 0.500 0.000 [2 per cell]
4 Rh 0.000 0.000 0.500 [2 per cell]
5 Rh 0.000 0.167 0.000 [4 per cell]
6 Rh 0.000 0.337 0.500 [4 per cell]

E_form: -0.885 eV per atom

Crystalline Sn2HBrO at its relaxed geometry. Source: Alexandria, functional PBE.

abc: 5.622 5.622 3.045
angles: 90.00 90.00 90.00
Space group P4/mmm (No. 123)
Symmetry-distinct sites (fractional):
1 Sn 0.000 0.500 0.000 [2 per cell]
2 H 0.000 0.000 0.500 [1 per cell]
3 Br 0.500 0.500 0.500 [1 per cell]
4 O 0.000 0.000 0.000 [1 per cell]

Crystalline CsLaCdSe2 at its relaxed geometry. Source: Alexandria, functional PBE.

abc: 5.830 5.830 6.339
angles: 90.00 90.00 90.00
Space group P4/mmm (No. 123)
Symmetry-distinct sites (fractional):
1 Cs 0.000 0.000 0.000 [1 per cell]
2 La 0.500 0.500 0.500 [1 per cell]
3 Cd 0.500 0.500 0.000 [1 per cell]
4 Se 0.000 0.500 0.500 [2 per cell]

E_form (uncorrected): -919 meV/atom

Crystalline Na4Tl3GaO8 at its relaxed geometry. Source: Alexandria, functional PBE.

abc: 6.6506 6.6506 16.6225
angles: 90.00 90.00 120.00
Space group R-3m (No. 166, hexagonal axes)
Symmetry-distinct sites (fractional):
1 Na 0.0000 0.0000 0.0000 [3 per cell]
2 Na 0.0000 0.5000 0.0000 [9 per cell]
3 Tl 0.0000 0.5000 0.5000 [9 per cell]
4 Ga 0.0000 0.0000 0.5000 [3 per cell]
5 O 0.0000 0.0000 0.2430 [6 per cell]
6 O 0.0288 0.5144 0.2376 [18 per cell]

E_form (uncorrected): -1222 meV/atom

Crystalline KTcW2 at its relaxed geometry. Source: Alexandria, functional PBE.

abc: 9.410 3.055 7.049
angles: 90.00 96.57 90.00
Space group C2/m (No. 12)
Symmetry-distinct sites (fractional):
1 K 0.000 0.000 0.000 [2 per cell]
2 Tc 0.000 0.500 0.500 [2 per cell]
3 W 0.221 0.000 0.624 [4 per cell]

E_form: 1.151 eV per atom

| no. | uncorrected energy (eV per atom) |
| --- | --- |
| 1 | -5.66 |
| 2 | -2.30 |
| 3 | -3.26 |
| 4 | -5.08 |
| 5 | -5.03 |
| 6 | -4.08 |
| 7 | -7.02 |
| 8 | -7.40 |
| 9 | -5.47 |
| 10 | -6.11 |
| 11 | -5.86 |
| 12 | -11.50 |
| 13 | -7.79 |
| 14 | -2.67 |
| 15 | -4.90 |
| 16 | -4.38 |
| 17 | -9.31 |
| 18 | -8.09 |
| 19 | -3.68 |
| 20 | -3.65 |
| 21 | -4.66 |
| 22 | -8.19 |